1.
Here is Zr2PbBr after structural relaxation from the Alexandria database. Energies are from GGA-PBEsol.

The structure belongs to space group Cm (No. 8); the cell edges are 10.3906, 3.2897 and 5.4058 Å and the angles 90.00°, 100.79° and 90.00°. The distinct sites, in fractional coordinates, are Zr at (0.0000, 0.0000, 0.0000), Zr at (0.2382, 0.5000, 0.3102), Pb at (0.2503, 0.0000, 0.8150) and Br at (0.4795, 0.0000, 0.3991).

For the density of states at the Fermi level, the calculation gives 6.46 states/eV/cell. As for the calculated volume: 181.5 Å³ per cell.

---

2.
Here is SrSiW after structural relaxation from the Alexandria database. Energies are from GGA-PBEsol.

The structure belongs to space group F-43m (No. 216); the cell edges are 6.3830, 6.3830 and 6.3830 Å and the angles 90.00°, 90.00° and 90.00°. The distinct sites, in fractional coordinates, are Sr at (0.0000, 0.0000, 0.0000), Si at (0.0000, 0.0000, 0.5000) and W at (0.2500, 0.2500, 0.2500).

For the density of states at the Fermi level, the calculation gives 14.47 states/eV/cell. As for the calculated volume: 260.1 Å³ per cell.

---

3.
Here is TlMoIr2 after structural relaxation from the Alexandria database. Energies are from GGA-PBEsol.

The structure belongs to space group R-3m (No. 166, hexagonal axes); the cell edges are 2.8393, 2.8393 and 28.0627 Å and the angles 90.00°, 90.00° and 120.00°. The distinct sites, in fractional coordinates, are Tl at (0.0000, 0.0000, 0.0000), Mo at (0.0000, 0.0000, 0.5000) and Ir at (0.0000, 0.0000, 0.2419).

The distance to the lowest polymorph of the same formula comes out at 0.000 eV/atom. For the density of states at the Fermi level, the calculation gives 9.08 states/eV/cell. As for the calculated volume: 195.9 Å³ per cell.

---

4.
Here is FeMo2Se after structural relaxation from the Alexandria database. Energies are from GGA-PBEsol.

The structure belongs to space group R-3m (No. 166, hexagonal axes); the cell edges are 2.8632, 2.8632 and 24.2864 Å and the angles 90.00°, 90.00° and 120.00°. The distinct sites, in fractional coordinates, are Fe at (0.0000, 0.0000, 0.0000), Mo at (0.0000, 0.0000, 0.2513) and Se at (0.0000, 0.0000, 0.5000).

For the density of states at the Fermi level, the calculation gives 12.40 states/eV/cell. As for the calculated volume: 172.4 Å³ per cell.

---

5.
Here is RbW2F after structural relaxation from the Alexandria database. Energies are from GGA-PBEsol.

The structure belongs to space group Fm-3m (No. 225); the cell edges are 6.4054, 6.4054 and 6.4054 Å and the angles 90.00°, 90.00° and 90.00°. The distinct sites, in fractional coordinates, are Rb at (0.0000, 0.0000, 0.0000), W at (0.2500, 0.2500, 0.2500) and F at (0.0000, 0.0000, 0.5000).

For the density of states at the Fermi level, the calculation gives 14.75 states/eV/cell. As for the calculated volume: 262.8 Å³ per cell.

---

6.
Here is ReAg2Se after structural relaxation from the Alexandria database. Energies are from GGA-PBEsol.

The structure belongs to space group F-43m (No. 216); the cell edges are 6.3579, 6.3579 and 6.3579 Å and the angles 90.00°, 90.00° and 90.00°. The distinct sites, in fractional coordinates, are Re at (0.0000, 0.0000, 0.0000), Ag at (0.0000, 0.0000, 0.5000), Ag at (0.2500, 0.2500, 0.2500) and Se at (0.2500, 0.2500, 0.7500).

For the density of states at the Fermi level, the calculation gives 10.10 states/eV/cell. As for the calculated volume: 257.0 Å³ per cell.

---

7.
Here is RbBe2OsPt after structural relaxation from the Alexandria database. Energies are from GGA-PBEsol.

The structure belongs to space group P4/mmm (No. 123); the cell edges are 4.3142, 4.3142 and 4.5987 Å and the angles 90.00°, 90.00° and 90.00°. The distinct sites, in fractional coordinates, are Rb at (0.0000, 0.0000, 0.0000), Be at (0.0000, 0.5000, 0.0000), Os at (0.0000, 0.0000, 0.5000) and Pt at (0.5000, 0.5000, 0.5000).

For the density of states at the Fermi level, the calculation gives 3.64 states/eV/cell. As for the calculated volume: 85.6 Å³ per cell.

---

8.
Here is SmSb after structural relaxation from the Alexandria database. Energies are from GGA-PBEsol.

The structure belongs to space group Fm-3m (No. 225); the cell edges are 6.2183, 6.2183 and 6.2183 Å and the angles 90.00°, 90.00° and 90.00°. The distinct sites, in fractional coordinates, are Sm at (0.0000, 0.0000, 0.0000) and Sb at (0.0000, 0.0000, 0.5000).

For the density of states at the Fermi level, the calculation gives 1.23 states/eV/cell. As for the calculated volume: 240.4 Å³ per cell.

---

9.
Here is SrLaCl2 after structural relaxation from the Alexandria database. Energies are from GGA-PBEsol.

The structure belongs to space group R3m (No. 160, hexagonal axes); the cell edges are 4.0749, 4.0749 and 29.7182 Å and the angles 90.00°, 90.00° and 120.00°. The distinct sites, in fractional coordinates, are Sr at (0.0000, 0.0000, 0.0000), La at (0.0000, 0.0000, 0.7820), Cl at (0.0000, 0.0000, 0.2783) and Cl at (0.0000, 0.0000, 0.5041).

The distance to the lowest polymorph of the same formula comes out at 0.000 eV/atom. For the density of states at the Fermi level, the calculation gives 2.01 states/eV/cell. As for the calculated volume: 427.4 Å³ per cell.

---

10.
Here is LaTeI3 after structural relaxation from the Alexandria database. Energies are from GGA-PBEsol.

The structure belongs to space group Pm-3m (No. 221); the cell edges are 6.1704, 6.1704 and 6.1704 Å and the angles 90.00°, 90.00° and 90.00°. The distinct sites, in fractional coordinates, are La at (0.0000, 0.0000, 0.0000), Te at (0.5000, 0.5000, 0.5000) and I at (0.0000, 0.0000, 0.5000).

For the density of states at the Fermi level, the calculation gives 4.56 states/eV/cell. As for the calculated volume: 234.9 Å³ per cell.

---

11.
Here is Ti3CoRh after structural relaxation from the Alexandria database. Energies are from GGA-PBEsol.

The structure belongs to space group Pm-3m (No. 221); the cell edges are 4.3442, 4.3442 and 4.3442 Å and the angles 90.00°, 90.00° and 90.00°. The distinct sites, in fractional coordinates, are Ti at (0.0000, 0.0000, 0.5000), Co at (0.0000, 0.0000, 0.0000) and Rh at (0.5000, 0.5000, 0.5000).

For the density of states at the Fermi level, the calculation gives 7.55 states/eV/cell. As for the calculated volume: 82.0 Å³ per cell.

---

12.
Here is Ca2TeRh after structural relaxation from the Alexandria database. Energies are from GGA-PBEsol.

The structure belongs to space group P4/mmm (No. 123); the cell edges are 4.8204, 4.8204 and 3.9119 Å and the angles 90.00°, 90.00° and 90.00°. The distinct sites, in fractional coordinates, are Ca at (0.0000, 0.5000, 0.0000), Te at (0.0000, 0.0000, 0.5000) and Rh at (0.5000, 0.5000, 0.5000).

For the density of states at the Fermi level, the calculation gives 1.73 states/eV/cell. As for the calculated volume: 90.9 Å³ per cell.

---

13.
Here is Ba4Ga2S7 after structural relaxation from the Alexandria database. Energies are from GGA-PBEsol.

The structure belongs to space group P2_1/m (No. 11); the cell edges are 8.9632, 7.0373 and 11.8076 Å and the angles 90.00°, 108.82° and 90.00°. The distinct sites, in fractional coordinates, are Ba at (0.0097, 0.2500, 0.3880), Ba at (0.0757, 0.2500, 0.9327), Ba at (0.3733, 0.7500, 0.3906), Ba at (0.4663, 0.7500, 0.8186), Ga at (0.2653, 0.2500, 0.6888), Ga at (0.3129, 0.7500, 0.0813), S at (0.0045, 0.2500, 0.6565), S at (0.1588, 0.7500, 0.8883), S at (0.2415, 0.0067, 0.1673), S at (0.3120, 0.5034, 0.5885) and S at (0.4160, 0.2500, 0.8901).

For the density of states at the Fermi level, the calculation gives 0.00 states/eV/cell. As for the calculated volume: 705.0 Å³ per cell.

---

14.
Here is TiCr3Cu after structural relaxation from the Alexandria database. Energies are from GGA-PBEsol.

The structure belongs to space group Pm-3m (No. 221); the cell edges are 4.1622, 4.1622 and 4.1622 Å and the angles 90.00°, 90.00° and 90.00°. The distinct sites, in fractional coordinates, are Ti at (0.0000, 0.0000, 0.0000), Cr at (0.0000, 0.0000, 0.5000) and Cu at (0.5000, 0.5000, 0.5000).

For the density of states at the Fermi level, the calculation gives 5.68 states/eV/cell. As for the calculated volume: 72.1 Å³ per cell.

---

15.
Here is SiRh5 after structural relaxation from the Alexandria database. Energies are from GGA-PBEsol.

The structure belongs to space group P4/mmm (No. 123); the cell edges are 2.7412, 2.7412 and 10.5322 Å and the angles 90.00°, 90.00° and 90.00°. The distinct sites, in fractional coordinates, are Si at (0.0000, 0.0000, 0.0000), Rh at (0.0000, 0.0000, 0.3294), Rh at (0.5000, 0.5000, 0.1396) and Rh at (0.5000, 0.5000, 0.5000).

For the density of states at the Fermi level, the calculation gives 5.23 states/eV/cell. As for the calculated volume: 79.1 Å³ per cell.

---

16.
Here is TiZnH12O6F6 after structural relaxation from the Alexandria database. Energies are from GGA-PBEsol.

The structure belongs to space group R-3 (No. 148, hexagonal axes); the cell edges are 9.5566, 9.5566 and 9.8009 Å and the angles 90.00°, 90.00° and 120.00°. The distinct sites, in fractional coordinates, are Ti at (0.0000, 0.0000, 0.0000), Zn at (0.0000, 0.0000, 0.5000), H at (0.0287, 0.8370, 0.2838), H at (0.0433, 0.4545, 0.2663), O at (0.0077, 0.8227, 0.3830) and F at (0.0524, 0.8724, 0.1109).

For the density of states at the Fermi level, the calculation gives 0.00 states/eV/cell. As for the calculated volume: 775.2 Å³ per cell.

---

17.
Here is BeNi3Sn after structural relaxation from the Alexandria database. Energies are from GGA-PBEsol.

The structure belongs to space group Pm-3m (No. 221); the cell edges are 4.5298, 4.5298 and 4.5298 Å and the angles 90.00°, 90.00° and 90.00°. The distinct sites, in fractional coordinates, are Be at (0.0000, 0.0000, 0.0000), Ni at (0.0000, 0.5000, 0.5000) and Sn at (0.5000, 0.5000, 0.5000).

For the density of states at the Fermi level, the calculation gives 4.28 states/eV/cell. As for the calculated volume: 93.0 Å³ per cell.

---

18.
Here is Ag2PtAu after structural relaxation from the Alexandria database. Energies are from GGA-PBEsol.

The structure belongs to space group Cmm2 (No. 35); the cell edges are 2.8389, 4.7671 and 9.6009 Å and the angles 90.00°, 90.00° and 90.00°. The distinct sites, in fractional coordinates, are Ag at (0.0000, 0.0000, 0.0000), Ag at (0.0000, 0.5000, 0.2494), Pt at (0.0000, 0.0000, 0.4958) and Au at (0.0000, 0.5000, 0.7473).

The distance to the lowest polymorph of the same formula comes out at 0.060 eV/atom. For the density of states at the Fermi level, the calculation gives 2.60 states/eV/cell. As for the calculated volume: 129.9 Å³ per cell.

---

19.
Here is Ag2AsSe after structural relaxation from the Alexandria database. Energies are from GGA-PBEsol.

The structure belongs to space group I4/mmm (No. 139); the cell edges are 4.1276, 4.1276 and 8.6064 Å and the angles 90.00°, 90.00° and 90.00°. The distinct sites, in fractional coordinates, are Ag at (0.0000, 0.5000, 0.2500), As at (0.0000, 0.0000, 0.0000) and Se at (0.0000, 0.0000, 0.5000).

For the density of states at the Fermi level, the calculation gives 4.45 states/eV/cell. As for the calculated volume: 146.6 Å³ per cell.

---

20.
Here is Hf3As after structural relaxation from the Alexandria database. Energies are from GGA-PBEsol.

The structure belongs to space group C2/c (No. 15); the cell edges are 15.2620, 5.3369 and 15.2125 Å and the angles 90.00°, 90.35° and 90.00°. The distinct sites, in fractional coordinates, are Hf at (0.0494, 0.2470, 0.0166), Hf at (0.0578, 0.4799, 0.8331), Hf at (0.0826, 0.0373, 0.6920), Hf at (0.1552, 0.2762, 0.5109), Hf at (0.2336, 0.2373, 0.3010), Hf at (0.2388, 0.2879, 0.9054), As at (0.0847, 0.0225, 0.3720) and As at (0.1223, 0.4577, 0.1672).

For the density of states at the Fermi level, the calculation gives 36.89 states/eV/cell. As for the calculated volume: 1239.1 Å³ per cell.

---

| no. | final energy (eV per atom) |
| --- | --- |
| 1 | -6.29 |
| 2 | -5.85 |
| 3 | -8.27 |
| 4 | -8.78 |
| 5 | -5.05 |
| 6 | -5.18 |
| 7 | -2.56 |
| 8 | -6.02 |
| 9 | -4.30 |
| 10 | -3.44 |
| 11 | -7.92 |
| 12 | -4.64 |
| 13 | -5.17 |
| 14 | -6.99 |
| 15 | -8.03 |
| 16 | -5.24 |
| 17 | -3.95 |
| 18 | -4.36 |
| 19 | -3.68 |
| 20 | -9.85 |